Te2Br | GGA-PBE | optimized geometry

Computed properties:
Formation energy (no corrections) = -9.5 kJ/mol of atoms
Uncorrected energy = -8.25 eV per cell
Offset from the most stable computed form = 0.184 eV/f.u.

```
data_Te2Br
_chemical_formula_sum 'Te2 Br1'
_symmetry_space_group_name_H-M 'P 1'
_symmetry_Int_Tables_number 1
_symmetry_space_group_name_Hall 'P 1'
_cell_length_a 4.070
_cell_length_b 4.870
_cell_length_c 5.826
_cell_angle_alpha 94.79
_cell_angle_beta 90.28
_cell_angle_gamma 114.31
loop_
_atom_site_label
_atom_site_type_symbol
_atom_site_fract_x
_atom_site_fract_y
_atom_site_fract_z
Te1 Te 0.628 0.949 0.789
Te2 Te 0.975 0.640 0.519
Br1 Br 0.300 0.291 0.149
```